No. 1
First-principles (PBE) data for crystalline Ti2O at its relaxed geometry, as listed in the Alexandria database.

```
9
Lattice="2.946 0.000 0.000 0.000 4.765 0.002 0.000 0.310 8.157" Properties=species:S:1:pos:R:3 pbc="T T T"
Ti 1.473 1.281 0.693
O 0.000 3.543 6.054
O 0.000 0.000 0.000
Ti 1.473 3.741 4.660
O 0.000 1.532 2.105
Ti 1.473 3.794 7.466
Ti 1.473 1.334 3.499
Ti 0.000 3.586 1.983
Ti 0.000 1.489 6.176
```

Calculated values
formation energy without anion corrections = -5.262 eV/f.u.
energy above the most stable polymorph in this dataset = 50 meV per atom
SG = P2/m (10)

No. 2
First-principles (PBE) data for crystalline TiO at its relaxed geometry, as listed in the Alexandria database.

```
16
Lattice="-5.558 -2.172 1.784 2.571 -5.526 1.283 1.136 1.881 5.828" Properties=species:S:1:pos:R:3 pbc="T T T"
Ti -0.608 -1.911 2.923
O 2.307 -3.422 6.306
Ti 0.663 -3.161 5.361
O -0.280 -0.879 1.344
Ti -1.534 -4.819 7.370
Ti -1.632 -4.550 3.974
Ti 1.372 -4.628 2.368
O 0.131 -3.699 3.491
O -0.303 -1.461 4.864
Ti 0.429 0.239 5.354
Ti -3.970 -2.424 2.697
Ti -2.125 -2.011 5.532
O -2.325 -2.686 3.643
O -2.364 -6.251 3.484
O -3.366 -1.081 6.656
O -1.205 -3.787 5.791
```

Calculated values
formation energy without anion corrections = -4.187 eV/f.u.
SG = I-43m (217)

No. 3
First-principles (PBE) data for crystalline TiO2 at its relaxed geometry, as listed in the Alexandria database.

```
9
Lattice="2.665 -4.615 0.000 2.665 4.615 0.000 0.000 0.000 3.128" Properties=species:S:1:pos:R:3 pbc="T T T"
Ti 0.000 0.000 0.000
O 0.701 1.213 1.564
O 1.603 -2.776 0.000
O 2.124 0.000 0.000
O 3.928 0.000 1.564
Ti 2.665 1.539 1.564
O 1.603 2.776 0.000
O 0.701 -1.213 1.564
Ti 2.665 -1.539 1.564
```

Calculated values
formation energy without anion corrections = -8.129 eV/f.u.
SG = P-62m (189)

No. 4
First-principles (PBE) data for crystalline Ti2O3 at its relaxed geometry, as listed in the Alexandria database.

```
20
Lattice="2.883 0.414 -4.190 -4.712 -0.323 1.931 -0.625 16.022 1.153" Properties=species:S:1:pos:R:3 pbc="T T T"
O 0.702 1.605 -2.376
O 0.498 6.821 -2.000
O -2.953 9.292 0.894
O -3.658 3.800 1.244
Ti -4.169 5.472 1.724
Ti -0.407 15.527 -0.916
O 1.204 12.313 -2.350
Ti -4.035 2.042 1.478
O -1.256 2.336 -0.761
Ti 1.581 14.071 -2.584
O -1.388 5.718 -0.518
O -1.066 10.395 -0.589
O 0.000 0.000 0.000
Ti -2.047 0.587 -0.191
O -3.156 14.508 1.269
Ti 1.714 10.641 -2.831
Ti -2.309 7.301 0.292
O -0.312 8.011 0.576
O -1.198 13.778 -0.346
Ti -0.146 8.812 -1.399
```

Calculated values
formation energy without anion corrections = -13.767 eV/f.u.
SG = Cmcm (63)

No. 5
First-principles (PBE) data for crystalline TiO2 at its relaxed geometry, as listed in the Alexandria database.

```
12
Lattice="4.902 0.000 0.000 0.000 4.902 0.000 0.000 0.000 4.902" Properties=species:S:1:pos:R:3 pbc="T T T"
O 0.780 3.231 4.122
O 4.122 0.780 3.231
Ti 2.451 2.451 0.000
O 3.231 3.231 3.231
Ti 0.000 2.451 2.451
Ti 0.000 0.000 0.000
O 1.671 1.671 1.671
O 0.780 4.122 1.671
Ti 2.451 0.000 2.451
O 3.231 4.122 0.780
O 1.671 0.780 4.122
O 4.122 1.671 0.780
```

Calculated values
formation energy without anion corrections = -8.358 eV/f.u.
SG = Pa-3 (205)

No. 6
First-principles (PBE) data for crystalline Ti3O8 at its relaxed geometry, as listed in the Alexandria database.

```
11
Lattice="-1.307 3.145 1.651 -3.436 -0.673 -1.438 -2.220 -4.915 7.605" Properties=species:S:1:pos:R:3 pbc="T T T"
O -4.143 -2.685 6.174
O -1.593 -3.526 5.455
Ti -2.231 -1.472 1.038
O -2.824 -3.233 8.262
Ti -2.360 -2.206 6.673
Ti -1.110 -2.457 3.802
O -2.731 -2.579 2.751
O -1.767 -0.445 -0.551
O -1.860 -1.099 4.960
O -0.627 -1.389 2.149
O -2.821 0.243 1.644
```

Calculated values
formation energy without anion corrections = -21.833 eV/f.u.
SG = P-4m2 (115)

No. 7
First-principles (PBE) data for crystalline TiO2 at its relaxed geometry, as listed in the Alexandria database.

```
12
Lattice="2.982 0.000 0.000 0.000 4.972 0.000 0.000 0.000 9.532" Properties=species:S:1:pos:R:3 pbc="T T T"
O 2.236 3.499 5.050
Ti 0.745 2.885 6.078
O 2.236 0.662 2.225
O 0.745 1.473 4.482
Ti 2.236 0.399 8.220
O 2.236 3.959 0.284
Ti 2.236 2.087 3.454
O 2.236 1.824 6.991
Ti 0.745 4.574 1.312
O 0.745 3.149 2.541
O 0.745 4.310 7.307
O 0.745 1.013 9.247
```

Calculated values
formation energy without anion corrections = -8.930 eV/f.u.
SG = Pnma (62)

No. 8
First-principles (PBE) data for crystalline TiO2 at its relaxed geometry, as listed in the Alexandria database.

```
9
Lattice="5.757 0.000 0.000 -2.878 4.986 0.000 0.000 0.000 6.330" Properties=species:S:1:pos:R:3 pbc="T T T"
O 1.023 3.959 1.023
Ti 1.449 2.510 0.000
O 1.817 1.093 1.087
O 2.917 2.865 5.307
O 0.038 2.120 5.243
O 3.902 1.027 3.197
Ti 2.858 0.000 2.110
O -1.061 3.892 3.133
Ti -1.429 2.475 4.220
```

Calculated values
formation energy without anion corrections = -8.975 eV/f.u.
SG = P3_121 (152)

No. 9
First-principles (PBE) data for crystalline Ti2O3 at its relaxed geometry, as listed in the Alexandria database.

```
10
Lattice="3.002 0.000 0.000 0.000 5.162 0.011 0.000 1.508 7.248" Properties=species:S:1:pos:R:3 pbc="T T T"
O 2.252 3.766 6.027
Ti 0.751 2.868 7.087
Ti 2.252 3.802 0.172
O 0.751 4.829 3.690
O 0.751 6.142 6.150
Ti 0.751 1.325 2.471
O 2.252 1.840 3.569
O 0.751 2.904 1.232
O 2.252 0.527 1.109
Ti 2.252 5.345 4.788
```

Calculated values
formation energy without anion corrections = -13.937 eV/f.u.
SG = P2_1/m (11)

No. 10
First-principles (PBE) data for crystalline Ti2O3 at its relaxed geometry, as listed in the Alexandria database.

```
10
Lattice="5.107 -0.035 -0.069 -2.523 4.440 0.042 -2.501 -1.466 4.712" Properties=species:S:1:pos:R:3 pbc="T T T"
Ti 0.029 0.007 2.159
Ti -2.482 1.493 4.536
O -3.281 3.069 3.550
O -1.557 2.967 1.187
O 0.824 1.571 1.152
Ti 0.055 2.953 2.507
O 1.641 -0.008 3.479
O 3.365 -0.109 1.115
O -0.740 1.389 3.514
Ti 2.566 1.467 0.130
```

Calculated values
formation energy without anion corrections = -14.422 eV/f.u.
SG = R-3c (167)

No. 11
First-principles (PBE) data for crystalline TiO2 at its relaxed geometry, as listed in the Alexandria database.

```
12
Lattice="-2.717 -0.631 -2.543 4.155 -1.078 -4.172 -0.054 -8.795 2.241" Properties=species:S:1:pos:R:3 pbc="T T T"
O 1.065 -7.815 -3.399
Ti 1.356 -1.883 -2.382
O 0.320 -2.690 -1.074
O -0.566 -5.317 0.524
Ti 0.028 -8.622 -2.091
Ti 3.423 -4.430 -3.959
O 1.500 -8.809 -0.816
O -0.115 -1.695 -3.657
Ti -2.039 -6.075 -0.515
O 2.397 -3.089 -3.195
O -1.013 -7.416 -1.278
O 1.950 -5.188 -4.998
```

Calculated values
formation energy without anion corrections = -9.066 eV/f.u.
SG = P2_1/m (11)

No. 12
First-principles (PBE) data for crystalline Ti9O10 at its relaxed geometry, as listed in the Alexandria database.

```
19
Lattice="4.516 0.002 0.008 -2.017 5.143 -0.016 -0.071 -1.609 8.791" Properties=species:S:1:pos:R:3 pbc="T T T"
O 2.942 0.916 2.545
Ti 1.358 2.399 6.773
O 0.565 0.707 3.872
O 1.862 2.829 4.911
O -0.094 1.452 0.399
Ti 1.655 4.333 3.468
Ti 0.772 -0.797 5.314
O -0.515 2.620 6.238
O 1.336 3.155 1.802
Ti 1.069 1.137 2.010
Ti 3.417 0.358 7.412
Ti -1.044 1.767 4.388
Ti 1.304 4.926 0.776
O 3.180 0.022 5.362
Ti 1.123 -1.390 8.007
Ti -0.990 3.178 1.371
O 2.521 2.083 8.384
O -0.753 3.513 3.421
O 1.091 0.380 6.981
```

Calculated values
formation energy without anion corrections = -46.518 eV/f.u.
energy above the most stable polymorph in this dataset = 0 meV per atom
SG = P-1 (2)

| no. | total energy (eV per atom) |
| --- | --- |
| 1 | -8.67 |
| 2 | -8.52 |
| 3 | -8.65 |
| 4 | -8.89 |
| 5 | -8.72 |
| 6 | -7.74 |
| 7 | -8.91 |
| 8 | -8.93 |
| 9 | -8.92 |
| 10 | -9.02 |
| 11 | -8.96 |
| 12 | -8.80 |